#one
# Co15Sn

Co15Sn after structural relaxation (GGA-PBE, OQMD).

Output
Total moment = 24.14 μB/f.u.
Symmetry = No. 11

```
Co15Sn
1.0
4.9710 0.0000 0.0000
0.0000 2.5580 0.0000
-0.0021 0.0000 40.1796
Co Sn
30 2
Cartesian
1.8660 0.0000 12.4203
3.1062 1.2790 20.9388
3.1032 1.2790 27.7596
4.3480 0.0000 22.6392
1.8633 0.0000 22.6422
4.3484 0.0000 26.0580
3.1062 1.2790 10.6717
0.6210 1.2790 10.7390
1.8611 0.0000 15.8347
3.1275 1.2790 31.1808
4.3481 0.0000 29.4414
1.8625 0.0000 26.0450
4.3490 0.0000 19.2402
3.1065 1.2790 7.4087
4.3511 0.0000 15.8354
0.6179 1.2790 24.3441
0.6221 1.2790 27.7598
0.6208 1.2790 17.5405
1.8625 0.0000 32.7698
0.5975 1.2790 31.1807
4.3465 0.0000 12.4202
1.8627 0.0000 19.2416
0.6206 1.2790 14.1210
4.3701 0.0000 8.9987
0.6198 1.2790 20.9401
1.8627 0.0000 29.5085
1.8426 0.0000 8.9985
3.1077 1.2790 24.3450
3.1063 1.2790 14.1349
3.1055 1.2790 17.5377
0.6208 1.2790 6.6398
4.3480 0.0000 33.5378
```

#two
# Co15Sn

Co15Sn after structural relaxation (GGA-PBE, OQMD).

Output
Total moment = 23.77 μB/f.u.
Symmetry = No. 13

```
Co15Sn
1.0
-2.5665 -0.4874 -3.3834
25.2415 -12.9945 -17.2754
-0.1695 -3.5296 2.4073
Co Sn
30 2
Cartesian
8.3891 -4.3188 -5.7416
14.5292 -10.1925 -11.3681
6.1492 -4.0700 -6.7785
17.8092 -9.1683 -12.1887
11.8016 -6.9799 -10.6471
13.0027 -8.5023 -7.7535
9.9305 -6.0166 -9.3665
8.8996 -7.2943 -7.5152
16.3941 -11.1526 -12.6445
10.7855 -8.2652 -8.8060
14.8893 -9.4736 -9.0447
8.0340 -5.0403 -8.0685
15.5695 -8.9196 -13.2258
18.2165 -12.0908 -13.8918
18.6492 -11.4092 -11.6179
12.1558 -6.2579 -8.3195
6.5082 -3.3505 -4.4542
11.1281 -7.5373 -6.4705
14.0273 -7.2214 -9.6004
9.2600 -6.5756 -5.1919
17.4500 -9.8877 -14.5128
15.9249 -8.1983 -10.8991
10.2752 -5.2897 -7.0324
12.6600 -9.2303 -10.0889
13.6834 -7.9486 -11.9349
7.3950 -5.6155 -3.9155
5.1394 -5.3586 -4.9417
7.0170 -6.3252 -6.2268
5.5715 -4.6767 -2.6675
16.7722 -10.4429 -10.3334
20.0567 -10.3253 -13.7269
3.9018 -2.9130 -5.2404
```

#three
# Co15Sn

Co15Sn after structural relaxation (GGA-PBE, OQMD).

Output
Total moment = 23.29 μB/f.u.
Symmetry = No. 51

```
Co15Sn
1.0
-2.6933 1.7089 -1.4534
-0.8508 -2.8801 -1.8099
-24.1340 -12.0629 30.5407
Co Sn
30 2
Cartesian
-17.4276 -8.4107 18.1799
-6.8161 -4.6343 7.1822
-5.3657 -2.6819 6.7901
-7.4443 -3.7209 9.4205
-8.8983 -5.6751 9.8172
-18.0348 -7.4868 20.3915
-19.1948 -10.8216 22.8470
-11.8822 -4.4115 12.6056
-10.9589 -6.7050 12.4249
-17.7423 -8.8681 22.4522
-20.1160 -8.5270 23.0252
-9.2163 -4.3064 7.7888
-5.6942 -1.3185 4.7749
-13.6010 -6.7982 17.2116
-11.2796 -5.3377 10.3998
-13.9233 -5.4317 15.1886
-7.1378 -3.2675 5.1586
-15.0517 -8.7507 17.6041
-15.9735 -6.4565 17.7830
-9.8241 -3.3828 10.0012
-17.1135 -9.7813 20.2132
-13.0017 -7.7261 15.0100
-15.6599 -7.8273 19.8170
-19.4938 -9.4434 20.7946
-21.5586 -10.4755 23.4076
-13.3294 -6.3623 12.9938
-9.5081 -4.7524 12.0321
-7.7577 -2.3500 7.3863
-11.5576 -5.7768 14.6257
-15.3712 -7.3828 15.5776
-20.1820 -10.0876 25.5396
-4.3814 -3.4174 4.1012
```

#four
# Co15Sn

Co15Sn after structural relaxation (GGA-PBE, OQMD).

Output
Total moment = 24.33 μB/f.u.
Symmetry = No. 11

```
Co15Sn
1.0
-6.7649 0.8760 1.3178
-0.3250 -2.5048 -0.0035
6.2715 -0.8597 32.7593
Co Sn
30 2
Cartesian
-0.0657 -0.0232 22.6581
0.7838 -1.4013 18.6859
-2.8149 0.3538 8.2071
-2.3671 0.2924 10.5455
-1.6663 -1.0912 24.2139
-4.0064 -0.7705 12.0849
-1.1186 -1.1410 9.0184
2.1587 -1.5898 25.8676
-2.5994 -0.9633 19.3421
-0.1426 -1.2744 13.8529
1.2457 -1.4647 21.0992
-0.9810 0.1024 17.8090
2.8675 -0.3995 19.5652
1.9432 -0.2728 14.7313
3.3509 -0.4656 21.9925
3.7460 -0.5203 24.4188
-1.4402 0.1653 15.3877
1.0109 -0.1450 9.8631
0.4632 -0.0952 25.0582
1.4772 -0.2089 12.2965
1.7116 -1.5285 23.5330
-0.5133 0.0383 20.2221
-1.9015 0.2286 12.9771
-3.5236 -0.8366 14.5100
2.4092 -0.3366 17.1427
-4.4023 -0.7158 9.6576
-3.0657 -0.8994 16.9297
-0.5898 -1.2129 11.4192
-2.1328 -1.0272 21.7798
0.3244 -1.3383 16.2633
0.4734 -0.0713 7.0508
-1.1294 -1.1648 27.0226
```

Which of them is most stable? Easy: #three.

#one
# TaZnCoSn

TaZnCoSn after structural relaxation (GGA-PBE, OQMD).

Output
Total moment = 1.93 μB/f.u.
Symmetry = No. 216

```
TaZnCoSn
1.0
-4.2697 -1.3999 0.4714
-2.9176 0.4565 -3.4193
-1.4418 -3.6481 -2.2417
Zn Ta Co Sn
1 1 1 1
Cartesian
-4.3146 -2.2958 -2.5948
-2.1573 -1.1479 -1.2974
-6.4719 -3.4437 -3.8922
0.0000 0.0000 0.0000
```

#two
# TaZnCoSn

TaZnCoSn after structural relaxation (GGA-PBE, OQMD).

Output
Total moment = 0.00 μB/f.u.
Symmetry = No. 216

```
TaZnCoSn
1.0
0.3133 1.2392 4.2871
1.7496 3.9795 1.0559
-2.6321 3.2506 1.5869
Sn Co Zn Ta
1 1 1 1
Cartesian
0.0000 0.0000 0.0000
-0.4269 6.3520 5.1974
-0.1423 2.1173 1.7325
-0.2846 4.2347 3.4650
```

Which of them is most stable? Easy: #two.

#one
# CoSnW

CoSnW after structural relaxation (GGA-PBE, OQMD).

Output
Total moment = 0.68 μB/f.u.
Symmetry = No. 216

```
CoSnW
1.0
0.0000 3.0615 3.0615
3.0615 0.0000 3.0615
3.0615 3.0615 0.0000
W Sn Co
1 1 1
Cartesian
0.0000 0.0000 0.0000
4.5922 4.5922 4.5922
1.5307 1.5307 1.5307
```

#two
# CoSnW

CoSnW after structural relaxation (GGA-PBE, OQMD).

Output
Total moment = 0.89 μB/f.u.
Symmetry = No. 216

```
CoSnW
1.0
0.0000 2.9448 2.9448
2.9448 0.0000 2.9448
2.9448 2.9448 0.0000
Sn W Co
1 1 1
Cartesian
1.4724 1.4724 1.4724
4.4173 4.4173 4.4173
0.0000 0.0000 0.0000
```

Which of them is most stable? Easy: #two.

#one
# SrTaCo

SrTaCo after structural relaxation (GGA-PBE, OQMD).

Output
Total moment = 0.17 μB/f.u.
Symmetry = No. 216

```
SrTaCo
1.0
0.6596 -0.7052 4.4790
-3.5928 -0.6209 2.7749
-0.8081 -4.1299 1.8123
Ta Sr Co
1 1 1
Cartesian
-2.8060 -4.0921 6.7997
0.0000 0.0000 0.0000
-0.9353 -1.3640 2.2666
```

#two
# SrTaCo

SrTaCo after structural relaxation (GGA-PBE, OQMD).

Output
Total moment = 0.00 μB/f.u.
Symmetry = No. 129

```
SrTaCo
1.0
4.3394 0.0000 0.0000
0.0000 4.3394 0.0000
0.0000 0.0000 7.6504
Ta Co Sr
2 2 2
Cartesian
0.0000 0.0000 0.0000
2.1697 2.1697 0.0000
0.0000 2.1697 1.1749
2.1697 0.0000 6.4754
0.0000 2.1697 5.0255
2.1697 0.0000 2.6249
```

Which of them is most stable? Easy: #two.

#one
# Ta10Co3

Ta10Co3 after structural relaxation (GGA-PBE, OQMD).

Output
Total moment = 0.30 μB/f.u.
Symmetry = No. 166

```
Ta10Co3
1.0
2.6768 1.5455 9.0301
-2.6768 1.5455 9.0301
0.0000 -3.0909 9.0301
Ta Co
10 3
Cartesian
0.0000 0.0000 12.2835
1.3237 0.7642 7.1442
-1.3237 0.7642 7.1442
0.0000 -1.5284 7.1442
-1.3237 -0.7642 19.9462
1.3237 -0.7642 19.9462
0.0000 1.5284 19.9462
0.0000 0.0000 22.5452
0.0000 0.0000 14.8069
0.0000 0.0000 4.5452
0.0000 0.0000 9.7303
0.0000 0.0000 17.3601
0.0000 0.0000 0.0000
```

#two
# Ta10Co3

Ta10Co3 after structural relaxation (GGA-PBE, OQMD).

Output
Total moment = 0.26 μB/f.u.
Symmetry = No. 166

```
Ta10Co3
1.0
-3.9908 -1.8744 8.0822
-2.7324 3.4940 8.0676
-7.2346 1.7104 5.4309
Ta Co
10 3
Cartesian
-7.6854 1.8335 11.8827
-4.8831 1.1650 7.5499
-3.2064 -0.6452 5.9113
-11.3793 1.2969 15.6767
-4.8247 1.1433 4.5886
-10.7515 3.9752 15.6694
-9.1332 2.1867 16.9921
-6.2725 1.4965 9.6981
-9.0748 2.1650 14.0308
-2.5786 2.0331 5.9041
-2.2844 0.5450 3.5321
0.0000 0.0000 0.0000
-11.6734 2.7850 18.0487
```

#three
# Ta10Co3

Ta10Co3 after structural relaxation (GGA-PBE, OQMD).

Output
Total moment = 0.18 μB/f.u.
Symmetry = No. 166

```
Ta10Co3
1.0
1.4185 -9.0511 2.5418
2.2896 -8.8111 -2.7418
6.1113 -7.2518 0.6782
Ta Co
10 3
Cartesian
6.3732 -16.3004 0.3104
3.4460 -8.8137 0.1678
8.2299 -18.3456 -0.8318
5.8907 -19.2425 0.0972
8.1815 -20.9253 0.3984
3.9286 -5.8716 0.3810
7.7956 -18.4652 1.8019
2.0236 -6.6488 -1.3237
1.6378 -4.1888 0.0798
1.5894 -6.7685 1.3100
0.0000 0.0000 0.0000
5.3880 -13.7806 0.2624
4.4312 -11.3335 0.2158
```

Which of them is most stable? Easy: #three.

#one
# Ta13Co16

Ta13Co16 after structural relaxation (GGA-PBE, OQMD).

Output
Total moment = 4.16 μB/f.u.
Symmetry = No. 217

```
Ta13Co16
1.0
-4.6425 4.6425 4.6425
4.6425 -4.6425 4.6425
4.6425 4.6425 -4.6425
Ta Co
13 16
Cartesian
-1.3295 5.2851 1.3295
3.3130 -0.6426 3.3130
-0.6426 3.3130 3.3130
1.3295 -1.3295 5.2851
1.3295 1.3295 3.9998
3.9998 1.3295 1.3295
3.3130 3.3130 -0.6426
0.0000 0.0000 0.0000
5.2851 1.3295 -1.3295
1.3295 5.2851 -1.3295
-1.3295 1.3295 5.2851
5.2851 -1.3295 1.3295
1.3295 3.9998 1.3295
0.8456 0.8456 6.6739
3.2062 -3.2062 3.2062
3.7969 3.7969 2.0315
2.6110 -0.8456 0.8456
1.4363 1.4363 1.4363
0.8456 -0.8456 2.6110
0.8456 6.6739 0.8456
-0.8456 0.8456 2.6110
6.6739 0.8456 0.8456
2.6110 0.8456 -0.8456
2.0315 3.7969 3.7969
3.7969 2.0315 3.7969
-0.8456 2.6110 0.8456
-3.2062 3.2062 3.2062
3.2062 3.2062 -3.2062
0.8456 2.6110 -0.8456
```

#two
# Ta13Co16

Ta13Co16 after structural relaxation (GGA-PBE, OQMD).

Output
Total moment = 0.02 μB/f.u.
Symmetry = No. 217

```
Ta13Co16
1.0
-1.5928 -7.0061 -3.8234
4.3777 -1.4978 6.6958
-6.9934 3.6058 2.0812
Co Ta
16 13
Cartesian
2.9866 -1.0218 4.5682
-4.1085 -3.3135 -1.7596
0.0348 0.5090 5.5403
-2.9733 1.8591 4.3195
-0.2611 -3.8983 2.1895
-3.7411 -2.3364 0.7772
2.3539 -4.0479 3.0047
0.5918 -2.1422 4.3913
-5.5371 -0.5063 -0.1976
-1.0867 -4.7799 -2.6085
0.7745 -5.5051 0.2220
-1.9720 -4.5076 -0.1259
-1.3373 -1.5564 1.5740
-1.9139 -0.6506 3.9965
-4.7713 2.4600 1.4199
-4.2911 0.0494 2.4097
-3.2043 0.0549 0.0766
0.7644 -6.0198 2.7184
0.3753 0.1191 3.1814
-3.9029 -2.1457 3.3388
-5.9251 -3.0175 0.0037
1.4773 -2.0463 1.9765
-2.4128 0.2230 6.1920
-2.8009 -4.3111 2.1339
-1.9860 1.1789 2.2232
-1.5826 -3.1871 4.2804
0.0000 0.0000 0.0000
-2.0828 -2.1487 -1.1495
0.2375 -3.1901 -0.2078
```

Which of them is most stable? Easy: #one.